Record 1
# LiPa2Pt4 | Alexandria via LeMat-Bulk | PBE | relaxed
# Electronic total energy: -98.9 eV per cell
data_LiPa2Pt4
_chemical_formula_sum 'Li2 Pa4 Pt8'
_cell_length_a 4.376
_cell_length_b 4.376
_cell_length_c 14.215
_cell_angle_alpha 90.00
_cell_angle_beta 90.00
_cell_angle_gamma 90.00
_symmetry_space_group_name_H-M 'I 4/m m m'
_symmetry_Int_Tables_number 139
_symmetry_space_group_name_Hall '-I 4 2'
loop_
_atom_site_label
_atom_site_type_symbol
_atom_site_fract_x
_atom_site_fract_y
_atom_site_fract_z
Li1 Li 0.000 0.000 0.000
Pa1 Pa 0.000 0.000 0.351
Pt1 Pt 0.000 0.000 0.163
Pt2 Pt 0.000 0.500 0.000

Record 2
# Y2MnPt | Alexandria via LeMat-Bulk | PBE | relaxed
# Electronic total energy: -116.3 eV per cell
data_Y2MnPt
_chemical_formula_sum 'Y8 Mn4 Pt4'
_cell_length_a 6.902
_cell_length_b 6.902
_cell_length_c 6.902
_cell_angle_alpha 90.00
_cell_angle_beta 90.00
_cell_angle_gamma 90.00
_symmetry_space_group_name_H-M 'F -4 3 m'
_symmetry_Int_Tables_number 216
_symmetry_space_group_name_Hall 'F -4 2 3'
loop_
_atom_site_label
_atom_site_type_symbol
_atom_site_fract_x
_atom_site_fract_y
_atom_site_fract_z
Y1 Y 0.000 0.000 0.000
Y2 Y 0.250 0.250 0.250
Mn1 Mn 0.000 0.000 0.500
Pt1 Pt 0.250 0.250 0.750

Record 3
# Cr3Mo5 | Alexandria via LeMat-Bulk | PBE | relaxed
# Offset from the most stable computed form: 20 meV per atom
# Electronic total energy: -329.6 eV per cell
data_Cr3Mo5
_chemical_formula_sum 'Cr12 Mo20'
_cell_length_a 6.134
_cell_length_b 8.677
_cell_length_c 8.675
_cell_angle_alpha 90.00
_cell_angle_beta 90.00
_cell_angle_gamma 90.00
_symmetry_space_group_name_H-M 'A m m 2'
_symmetry_Int_Tables_number 38
_symmetry_space_group_name_Hall 'A 2 -2'
loop_
_atom_site_label
_atom_site_type_symbol
_atom_site_fract_x
_atom_site_fract_y
_atom_site_fract_z
Cr1 Cr 0.000 0.000 0.000
Cr2 Cr 0.000 0.246 0.244
Cr3 Cr 0.244 0.000 0.244
Cr4 Cr 0.500 0.000 0.492
Mo1 Mo 0.000 0.000 0.488
Mo2 Mo 0.245 0.000 0.744
Mo3 Mo 0.245 0.250 0.495
Mo4 Mo 0.500 0.000 0.999
Mo5 Mo 0.500 0.244 0.245

Record 4
# HfNp3Pt12 | Alexandria via LeMat-Bulk | PBE | relaxed
# Electronic total energy: -132.8 eV per cell
data_HfNp3Pt12
_chemical_formula_sum 'Hf1 Np3 Pt12'
_cell_length_a 4.114
_cell_length_b 4.114
_cell_length_c 16.612
_cell_angle_alpha 90.00
_cell_angle_beta 90.00
_cell_angle_gamma 90.00
_symmetry_space_group_name_H-M 'P 4/m m m'
_symmetry_Int_Tables_number 123
_symmetry_space_group_name_Hall '-P 4 2'
loop_
_atom_site_label
_atom_site_type_symbol
_atom_site_fract_x
_atom_site_fract_y
_atom_site_fract_z
Hf1 Hf 0.000 0.000 0.000
Np1 Np 0.000 0.000 0.247
Np2 Np 0.000 0.000 0.500
Pt1 Pt 0.000 0.500 0.118
Pt2 Pt 0.000 0.500 0.373
Pt3 Pt 0.500 0.500 0.000
Pt4 Pt 0.500 0.500 0.244
Pt5 Pt 0.500 0.500 0.500

The records above give, respectively, energy of formation values of -625.9 -236.2 77.7 -718.3 meV/atom.